(1)
# LiCa2Sb, relaxed, DFT PBE
data_LiCa2Sb
_chemical_formula_sum 'Li1 Ca2 Sb1'
_space_group_name_H-M_alt 'P 4/m m m'
_space_group_IT_number 123
_space_group_name_Hall '-P 4 2'
_cell_length_a 4.046
_cell_length_b 4.046
_cell_length_c 7.265
_cell_angle_alpha 90.00
_cell_angle_beta 90.00
_cell_angle_gamma 90.00
loop_
_atom_site_label
_atom_site_type_symbol
_atom_site_fract_x
_atom_site_fract_y
_atom_site_fract_z
Li1 Li 0.000 0.000 0.000
Ca1 Ca 0.500 0.500 0.273
Sb1 Sb 0.000 0.000 0.500
# VASP energy: -3.017 eV/atom
# M_tot: 0.00 μB per formula unit
# ΔE_f (raw): -508 meV per atom

=====

(2)
# Li2CaSb, relaxed, DFT PBE
data_Li2CaSb
_chemical_formula_sum 'Li8 Ca4 Sb4'
_space_group_name_H-M_alt 'F -4 3 m'
_space_group_IT_number 216
_space_group_name_Hall 'F -4 2 3'
_cell_length_a 7.199
_cell_length_b 7.199
_cell_length_c 7.199
_cell_angle_alpha 90.00
_cell_angle_beta 90.00
_cell_angle_gamma 90.00
loop_
_atom_site_label
_atom_site_type_symbol
_atom_site_fract_x
_atom_site_fract_y
_atom_site_fract_z
Li1 Li 0.000 0.000 0.000
Li2 Li 0.250 0.250 0.250
Ca1 Ca 0.250 0.250 0.750
Sb1 Sb 0.000 0.000 0.500
# VASP energy: -2.988 eV/atom
# M_tot: 0.00 μB per formula unit
# ΔE_f (raw): -501 meV per atom

=====

(3)
# Li2CaSb, relaxed, DFT PBE
data_Li2CaSb
_chemical_formula_sum 'Li2 Ca1 Sb1'
_space_group_name_H-M_alt 'P 1 2/m 1'
_space_group_IT_number 10
_space_group_name_Hall '-P 2y'
_cell_length_a 3.484
_cell_length_b 5.033
_cell_length_c 5.666
_cell_angle_alpha 90.00
_cell_angle_beta 92.69
_cell_angle_gamma 90.00
loop_
_atom_site_label
_atom_site_type_symbol
_atom_site_fract_x
_atom_site_fract_y
_atom_site_fract_z
Li1 Li 0.097 0.000 0.263
Ca1 Ca 0.500 0.500 0.000
Sb1 Sb 0.000 0.500 0.500
# VASP energy: -2.902 eV/atom
# M_tot: 0.00 μB per formula unit
# ΔE_f (raw): -414 meV per atom

=====

Number 1: density of states at the Fermi level 0.68 states/eV per atom. Number 2: density of states at the Fermi level 0.54 states/eV per atom. Number 3: density of states at the Fermi level 0.40 states/eV per atom.